# MgZrBeH2 (GGA-PBEsol, relaxed)
data_MgZrBeH2
_chemical_formula_sum 'Mg1 Zr1 Be1 H2'
_space_group_name_H-M_alt 'P 4/m m m'
_space_group_IT_number 123
_space_group_name_Hall '-P 4 2'
_cell_length_a 3.5465
_cell_length_b 3.5465
_cell_length_c 7.2204
_cell_angle_alpha 90.00
_cell_angle_beta 90.00
_cell_angle_gamma 90.00
loop_
_atom_site_label
_atom_site_type_symbol
_atom_site_fract_x
_atom_site_fract_y
_atom_site_fract_z
_atom_site_occupancy
Mg1 Mg 0.0000 0.0000 0.0000 1
Zr1 Zr 0.0000 0.0000 0.5000 1
Be1 Be 0.5000 0.5000 0.5000 1
H1 H 0.0000 0.5000 0.0000 1
# Raw total energy (eV for the cell shown): -17.0
# D(E_F) (states/eV per atom): 0.73
# Density (g/cm3): 2.31

---

# SbOsRh3 (GGA-PBEsol, relaxed)
data_SbOsRh3
_chemical_formula_sum 'Sb1 Os1 Rh3'
_space_group_name_H-M_alt 'P m -3 m'
_space_group_IT_number 221
_space_group_name_Hall '-P 4 2 3'
_cell_length_a 4.6703
_cell_length_b 4.6703
_cell_length_c 4.6703
_cell_angle_alpha 90.00
_cell_angle_beta 90.00
_cell_angle_gamma 90.00
loop_
_atom_site_label
_atom_site_type_symbol
_atom_site_fract_x
_atom_site_fract_y
_atom_site_fract_z
_atom_site_occupancy
Sb1 Sb 0.0000 0.0000 0.0000 1
Os1 Os 0.5000 0.5000 0.5000 1
Rh1 Rh 0.0000 0.0000 0.5000 1
# D(E_F) (states/eV per atom): 1.47
# E_form (uncorrected) (meV per atom): 1930
# Density (g/cm3): 10.12